# Dy3Y3Ho PBE-GGA optimized geometry
# **Crystal system**: trigonal
# **Total magnetic moment**: 0.00 μB per atom
# **Raw total energy**: -0.1891 Ha/atom
# **DOS at the Fermi energy**: 11.4 states/eV/f.u.
# **Offset from the most stable computed form**: 106.3 meV per atom
data_Dy3Y3Ho
_cell_length_a 8.2555
_cell_length_b 6.3046
_cell_length_c 6.3046
_cell_angle_alpha 102.37
_cell_angle_beta 115.88
_cell_angle_gamma 115.88
_symmetry_space_group_name_H-M 'P 1'
_symmetry_Int_Tables_number 1
_symmetry_space_group_name_Hall 'P 1'
loop_
_atom_site_label
_atom_site_type_symbol
_atom_site_fract_x
_atom_site_fract_y
_atom_site_fract_z
Dy1 Dy 0.6234 0.6507 0.6507
Ho1 Ho 0.5630 0.0000 0.0000
Dy2 Dy 0.9726 0.3493 0.0000
Dy3 Dy 0.9726 0.0000 0.3493
Y1 Y 0.4145 0.4000 0.0000
Y2 Y 0.4145 0.0000 0.4000
Y3 Y 0.0145 0.6000 0.6000



# AsIF2 PBE-GGA optimized geometry
# **Crystal system**: cubic
# **Raw formation energy**: -0.391 eV per atom
# **Total magnetic moment**: 0.00 μB per atom
# **Raw total energy**: -0.1057 Ha/atom
# **DOS at the Fermi energy**: 0.0 states/eV/f.u.
# **Offset from the most stable computed form**: 510.1 meV per atom
data_AsIF2
_cell_length_a 4.5157
_cell_length_b 4.5157
_cell_length_c 4.5157
_cell_angle_alpha 60.00
_cell_angle_beta 60.00
_cell_angle_gamma 60.00
_symmetry_space_group_name_H-M 'P 1'
_symmetry_Int_Tables_number 1
_symmetry_space_group_name_Hall 'P 1'
loop_
_atom_site_label
_atom_site_type_symbol
_atom_site_fract_x
_atom_site_fract_y
_atom_site_fract_z
I1 I 0.5000 0.5000 0.5000
As1 As 0.0000 0.0000 0.0000
F1 F 0.7500 0.7500 0.7500
F2 F 0.2500 0.2500 0.2500



# La2MnAuI PBE-GGA optimized geometry
# **Crystal system**: tetragonal
# **Raw formation energy**: 0.297 eV per atom
# **Total magnetic moment**: 0.66 μB per atom
# **Raw total energy**: -0.1644 Ha/atom
# **DOS at the Fermi energy**: 3.9 states/eV/f.u.
data_La2MnAuI
_cell_length_a 5.9307
_cell_length_b 4.7687
_cell_length_c 5.9307
_cell_angle_alpha 90.00
_cell_angle_beta 90.00
_cell_angle_gamma 90.00
_symmetry_space_group_name_H-M 'P 1'
_symmetry_Int_Tables_number 1
_symmetry_space_group_name_Hall 'P 1'
loop_
_atom_site_label
_atom_site_type_symbol
_atom_site_fract_x
_atom_site_fract_y
_atom_site_fract_z
Mn1 Mn 0.0000 0.5000 0.0000
La1 La 0.0000 0.0000 0.5000
I1 I 0.0000 0.0000 0.0000
Au1 Au 0.5000 0.5000 0.5000
La2 La 0.5000 0.0000 0.0000



# Sr2CaReO6 PBE-GGA optimized geometry
# **Crystal system**: trigonal
# **Raw formation energy**: -2.495 eV per atom
# **Total magnetic moment**: 0.10 μB per atom
# **Raw total energy**: -0.2665 Ha/atom
# **DOS at the Fermi energy**: 3.7 states/eV/f.u.
# **Offset from the most stable computed form**: 9.9 meV per atom
data_Sr2CaReO6
_cell_length_a 5.9187
_cell_length_b 5.9186
_cell_length_c 5.8051
_cell_angle_alpha 59.32
_cell_angle_beta 59.34
_cell_angle_gamma 59.99
_symmetry_space_group_name_H-M 'P 1'
_symmetry_Int_Tables_number 1
_symmetry_space_group_name_Hall 'P 1'
loop_
_atom_site_label
_atom_site_type_symbol
_atom_site_fract_x
_atom_site_fract_y
_atom_site_fract_z
Ca1 Ca 0.8162 0.8162 0.5515
O1 O 0.5359 0.1621 0.2885
Sr1 Sr 0.0720 0.0720 0.7836
O2 O 0.6184 0.0962 0.8146
O3 O 0.4707 0.6185 0.8133
O4 O 0.0965 0.4702 0.8145
Re1 Re 0.3162 0.3162 0.0515
O5 O 0.1616 0.0138 0.2896
Sr2 Sr 0.5603 0.5603 0.3195
O6 O 0.0140 0.5362 0.2884



# Ca2NiW PBE-GGA optimized geometry
# **Crystal system**: orthorhombic
# **Total magnetic moment**: 0.01 μB per atom
# **Raw total energy**: -0.1780 Ha/atom
# **DOS at the Fermi energy**: 5.4 states/eV/f.u.
# **Offset from the most stable computed form**: 449.6 meV per atom
data_Ca2NiW
_cell_length_a 5.5478
_cell_length_b 5.5478
_cell_length_c 2.8842
_cell_angle_alpha 90.05
_cell_angle_beta 90.05
_cell_angle_gamma 112.63
_symmetry_space_group_name_H-M 'P 1'
_symmetry_Int_Tables_number 1
_symmetry_space_group_name_Hall 'P 1'
loop_
_atom_site_label
_atom_site_type_symbol
_atom_site_fract_x
_atom_site_fract_y
_atom_site_fract_z
Ca1 Ca 0.0000 0.0000 0.0000
Ca2 Ca 0.5000 0.5000 0.0000
W1 W 0.0000 0.5000 0.5000
Ni1 Ni 0.5000 0.0000 0.5000



# La4YS4 PBE-GGA optimized geometry
# **Crystal system**: tetragonal
# **Raw formation energy**: -1.857 eV per atom
# **Total magnetic moment**: 0.00 μB per atom
# **Raw total energy**: -0.2425 Ha/atom
# **DOS at the Fermi energy**: 6.3 states/eV/f.u.
data_La4YS4
_cell_length_a 5.8591
_cell_length_b 7.0623
_cell_length_c 7.0619
_cell_angle_alpha 80.07
_cell_angle_beta 65.49
_cell_angle_gamma 65.49
_symmetry_space_group_name_H-M 'P 1'
_symmetry_Int_Tables_number 1
_symmetry_space_group_name_Hall 'P 1'
loop_
_atom_site_label
_atom_site_type_symbol
_atom_site_fract_x
_atom_site_fract_y
_atom_site_fract_z
La1 La 0.5983 0.6014 0.2019
La2 La 0.4017 0.3986 0.7981
S1 S 0.7082 0.1952 0.3884
La3 La 0.1996 0.2020 0.3988
S2 S 0.9032 0.3885 0.8051
Y1 Y 0.0000 0.0000 0.0000
S3 S 0.0968 0.6115 0.1949
S4 S 0.2918 0.8048 0.6116
La4 La 0.8004 0.7980 0.6012



# Ac2Cd2Au3 PBE-GGA optimized geometry
# **Crystal system**: orthorhombic
# **Total magnetic moment**: 0.00 μB per atom
# **Raw total energy**: -0.1279 Ha/atom
# **DOS at the Fermi energy**: 4.2 states/eV/f.u.
data_Ac2Cd2Au3
_cell_length_a 4.4037
_cell_length_b 8.2403
_cell_length_c 10.5538
_cell_angle_alpha 90.00
_cell_angle_beta 102.04
_cell_angle_gamma 90.00
_symmetry_space_group_name_H-M 'P 1'
_symmetry_Int_Tables_number 1
_symmetry_space_group_name_Hall 'P 1'
loop_
_atom_site_label
_atom_site_type_symbol
_atom_site_fract_x
_atom_site_fract_y
_atom_site_fract_z
Ac1 Ac 0.9418 0.2500 0.8837
Au1 Au 0.4389 0.9325 0.8778
Cd1 Cd 0.3092 0.0590 0.6184
Au2 Au 0.7680 0.2500 0.5360
Au3 Au 0.5611 0.0675 0.1222
Ac2 Ac 0.8503 0.7500 0.7006
Ac3 Ac 0.0582 0.7500 0.1163
Ac4 Ac 0.1497 0.2500 0.2994
Cd2 Cd 0.6908 0.5590 0.3816
Au4 Au 0.4389 0.5675 0.8778
Cd3 Cd 0.3092 0.4410 0.6184
Au5 Au 0.5611 0.4325 0.1222
Cd4 Cd 0.6908 0.9410 0.3816
Au6 Au 0.2320 0.7500 0.4640



# Bi4S5Br PBE-GGA optimized geometry
# **Crystal system**: orthorhombic
# **Raw formation energy**: -0.247 eV per atom
# **Total magnetic moment**: 0.00 μB per atom
# **Raw total energy**: -0.1481 Ha/atom
# **DOS at the Fermi energy**: 3.1 states/eV/f.u.
data_Bi4S5Br
_cell_length_a 7.1539
_cell_length_b 8.3613
_cell_length_c 10.2658
_cell_angle_alpha 90.00
_cell_angle_beta 90.00
_cell_angle_gamma 90.00
_symmetry_space_group_name_H-M 'P 1'
_symmetry_Int_Tables_number 1
_symmetry_space_group_name_Hall 'P 1'
loop_
_atom_site_label
_atom_site_type_symbol
_atom_site_fract_x
_atom_site_fract_y
_atom_site_fract_z
Bi1 Bi 0.0007 0.5000 0.2354
S1 S 0.1629 0.0000 0.5000
Bi2 Bi 0.5207 0.7946 0.5000
S2 S 0.7447 0.2392 0.3016
S3 S 0.8371 0.5000 0.0000
S4 S 0.2553 0.2608 0.1984
Bi3 Bi 0.4793 0.2946 0.0000
S5 S 0.2553 0.2608 0.8016
Br1 Br 0.2121 0.5000 0.5000
Bi4 Bi 0.5207 0.2054 0.5000
S6 S 0.2553 0.7392 0.1984
Bi5 Bi 0.9993 0.0000 0.2646
Bi6 Bi 0.0007 0.5000 0.7646
S7 S 0.7447 0.7608 0.6984
S8 S 0.2553 0.7392 0.8016
Bi7 Bi 0.9993 0.0000 0.7354
S9 S 0.7447 0.7608 0.3016
S10 S 0.7447 0.2392 0.6984
Bi8 Bi 0.4793 0.7054 0.0000
Br2 Br 0.7879 0.0000 0.0000



# TaFe2Ir PBE-GGA optimized geometry
# **Crystal system**: tetragonal
# **Total magnetic moment**: 0.84 μB per atom
# **Raw total energy**: -0.3558 Ha/atom
# **DOS at the Fermi energy**: 4.3 states/eV/f.u.
# **Offset from the most stable computed form**: 0.0 meV per atom
data_TaFe2Ir
_cell_length_a 3.8002
_cell_length_b 3.8002
_cell_length_c 3.7966
_cell_angle_alpha 90.00
_cell_angle_beta 90.00
_cell_angle_gamma 90.00
_symmetry_space_group_name_H-M 'P 1'
_symmetry_Int_Tables_number 1
_symmetry_space_group_name_Hall 'P 1'
loop_
_atom_site_label
_atom_site_type_symbol
_atom_site_fract_x
_atom_site_fract_y
_atom_site_fract_z
Fe1 Fe 0.0000 0.0000 0.0000
Ta1 Ta 0.0000 0.5000 0.5000
Ir1 Ir 0.5000 0.0000 0.5000
Fe2 Fe 0.5000 0.5000 0.0000



# PuRe2B4 PBE-GGA optimized geometry
# **Crystal system**: monoclinic
# **Total magnetic moment**: 0.57 μB per atom
# **Raw total energy**: -0.3494 Ha/atom
# **DOS at the Fermi energy**: 7.7 states/eV/f.u.
data_PuRe2B4
_cell_length_a 5.6406
_cell_length_b 5.5586
_cell_length_c 6.3214
_cell_angle_alpha 116.08
_cell_angle_beta 108.60
_cell_angle_gamma 90.00
_symmetry_space_group_name_H-M 'P 1'
_symmetry_Int_Tables_number 1
_symmetry_space_group_name_Hall 'P 1'
loop_
_atom_site_label
_atom_site_type_symbol
_atom_site_fract_x
_atom_site_fract_y
_atom_site_fract_z
Re1 Re 0.3217 0.3306 0.5184
B1 B 0.2961 0.4167 0.1704
B2 B 0.7039 0.5833 0.8296
B3 B 0.2039 0.2463 0.8296
B4 B 0.5096 0.2347 0.2586
Pu1 Pu 0.2500 0.7655 0.0000
Re2 Re 0.6783 0.6694 0.4816
Re3 Re 0.8217 0.1878 0.5184
B5 B 0.7961 0.7537 0.1704
B6 B 0.9904 0.9761 0.7414
Re4 Re 0.1783 0.8122 0.4816
B7 B 0.4904 0.7653 0.7414
B8 B 0.0096 0.0239 0.2586
Pu2 Pu 0.7500 0.2345 0.0000



# Mn2Pt2Cl PBE-GGA optimized geometry
# **Crystal system**: tetragonal
# **Raw formation energy**: -0.070 eV per atom
# **Total magnetic moment**: 1.75 μB per atom
# **Raw total energy**: -0.2397 Ha/atom
# **DOS at the Fermi energy**: 1.8 states/eV/f.u.
# **Offset from the most stable computed form**: 0.0 meV per atom
data_Mn2Pt2Cl
_cell_length_a 7.5393
_cell_length_b 7.5393
_cell_length_c 3.0013
_cell_angle_alpha 90.00
_cell_angle_beta 90.00
_cell_angle_gamma 90.00
_symmetry_space_group_name_H-M 'P 1'
_symmetry_Int_Tables_number 1
_symmetry_space_group_name_Hall 'P 1'
loop_
_atom_site_label
_atom_site_type_symbol
_atom_site_fract_x
_atom_site_fract_y
_atom_site_fract_z
Pt1 Pt 0.1304 0.6304 0.5000
Mn1 Mn 0.8354 0.6646 0.0000
Mn2 Mn 0.1646 0.3354 0.0000
Pt2 Pt 0.3696 0.1304 0.5000
Pt3 Pt 0.6304 0.8696 0.5000
Mn3 Mn 0.6646 0.1646 0.0000
Pt4 Pt 0.8696 0.3696 0.5000
Cl1 Cl 0.5000 0.5000 0.0000
Mn4 Mn 0.3354 0.8354 0.0000
Cl2 Cl 0.0000 0.0000 0.0000



# TaTeCl PBE-GGA optimized geometry
# **Crystal system**: cubic
# **Raw formation energy**: -0.067 eV per atom
# **Total magnetic moment**: 0.67 μB per atom
# **Raw total energy**: -0.2088 Ha/atom
# **DOS at the Fermi energy**: 0.8 states/eV/f.u.
# **Offset from the most stable computed form**: 665.7 meV per atom
data_TaTeCl
_cell_length_a 4.6999
_cell_length_b 4.6999
_cell_length_c 4.6999
_cell_angle_alpha 60.00
_cell_angle_beta 60.00
_cell_angle_gamma 60.00
_symmetry_space_group_name_H-M 'P 1'
_symmetry_Int_Tables_number 1
_symmetry_space_group_name_Hall 'P 1'
loop_
_atom_site_label
_atom_site_type_symbol
_atom_site_fract_x
_atom_site_fract_y
_atom_site_fract_z
Ta1 Ta 0.7500 0.7500 0.7500
Cl1 Cl 0.5000 0.5000 0.5000
Te1 Te 0.0000 0.0000 0.0000